Entry 1:
{"formula": "InFe2Br", "functional": "SCAN", "state": "single point on PBEsol structure", "cell": [[-0.228, -2.575, 1.647], [3.111, -0.514, -0.374], [1.756, 5.085, 5.343]], "species": ["Fe", "In", "Fe", "Br"], "fractional_positions": [[0.081, 0.791, 0.163], [0.473, 0.317, 0.946], [0.660, 0.269, 0.319], [0.286, 0.123, 0.572]], "crystal_system": "monoclinic", "dos_at_fermi_per_ev_atom": 0.5369, "relative_energy_mev_per_atom": 0}

=====

Entry 2:
{"formula": "InFeBr2", "functional": "SCAN", "state": "single point on PBEsol structure", "cell": [[3.233, 0.000, 0.000], [0.000, 3.233, 0.000], [0.000, 0.000, 8.709]], "species": ["In", "Br", "Br", "Fe"], "fractional_positions": [[0.500, 0.500, 0.500], [0.000, 0.000, 0.818], [0.000, 0.000, 0.182], [0.500, 0.500, 0.000]], "crystal_system": "tetragonal", "dos_at_fermi_per_ev_atom": 0.4210, "relative_energy_mev_per_atom": 196}

=====

no.,energy (eV/atom)
1,-22.152
2,-22.731